Record 1
# Na2LiNbSe4 | Alexandria via LeMat-Bulk | PBE | relaxed
# * symmetry: P2/m, No. 10
# * E_form (uncorrected): -0.930 eV per atom
data_Na2LiNbSe4
_cell_length_a 6.886
_cell_length_b 3.704
_cell_length_c 7.254
_cell_angle_alpha 90.00
_cell_angle_beta 105.32
_cell_angle_gamma 90.00
_symmetry_space_group_name_H-M 'P 1'
_symmetry_Int_Tables_number 1
_symmetry_space_group_name_Hall 'P 1'
loop_
_atom_site_label
_atom_site_type_symbol
_atom_site_fract_x
_atom_site_fract_y
_atom_site_fract_z
Na1 Na 0.000 0.000 0.000
Na2 Na 0.500 0.500 0.000
Li1 Li 0.000 0.500 0.500
Nb1 Nb 0.500 0.000 0.500
Se1 Se 0.254 0.000 0.715
Se2 Se 0.273 0.500 0.287
Se3 Se 0.727 0.500 0.713
Se4 Se 0.746 0.000 0.285

***

Record 2
# NaLi2TaNb | Alexandria via LeMat-Bulk | PBE | relaxed
# * symmetry: P4/mmm, No. 123
# * ΔE_f: 10.137 eV/f.u.
data_NaLi2TaNb
_cell_length_a 4.755
_cell_length_b 4.755
_cell_length_c 5.088
_cell_angle_alpha 90.00
_cell_angle_beta 90.00
_cell_angle_gamma 90.00
_symmetry_space_group_name_H-M 'P 1'
_symmetry_Int_Tables_number 1
_symmetry_space_group_name_Hall 'P 1'
loop_
_atom_site_label
_atom_site_type_symbol
_atom_site_fract_x
_atom_site_fract_y
_atom_site_fract_z
Na1 Na 0.000 0.000 0.000
Li1 Li 0.000 0.500 0.500
Li2 Li 0.500 0.000 0.500
Ta1 Ta 0.500 0.500 0.000
Nb1 Nb 0.000 0.000 0.500

***

| no. | total moment (μB per formula unit) |
| --- | --- |
| 1 | 0.000 |
| 2 | 0.982 |